Hf2Tl2In | the Alexandria database | GGA-PBE | optimized geometry; space group = P4/mbm (127); uncorrected energy = -0.38315 Ry per atom; formation energy = 0.26 eV/atom; calculated volume = 24.566 Å³/atom; polymorph energy (0 for the lowest one) = 30 meV per atom
1.0
-1.214 -0.887 -8.603
6.535 -5.784 -0.326
-2.089 -2.391 0.541
Tl Hf In
4 4 2
direct
0.331 0.831 0.000
0.831 0.669 0.000
0.669 0.169 0.000
0.169 0.331 0.000
0.128 0.628 0.500
0.628 0.872 0.500
0.872 0.372 0.500
0.372 0.128 0.500
0.000 0.000 0.000
0.500 0.500 0.000